Here is Fe3Ir12Ru4 after structural relaxation from the Alexandria database. Energies are from GGA-PBE.

Output
- SG: Im-3 (204)
- E_form: 1406 kJ/mol of formula units
- Raw total energy: -154.25 eV per cell

Cell lengths 8.012, 8.012, 8.012 Å; angles 109.47, 109.47, 109.47 degrees
Sites, in units of the cell vectors:
1 Ir 0.362 0.086 0.725
2 Ir 0.637 0.275 0.362
3 Ir 0.275 0.638 0.914
4 Fe 0.000 0.500 0.500
5 Fe 0.500 0.500 0.000
6 Ir 0.086 0.725 0.362
7 Ir 0.362 0.637 0.275
8 Ir 0.363 0.725 0.638
9 Ir 0.725 0.362 0.086
10 Fe 0.500 0.000 0.500
11 Ru 0.500 0.500 0.500
12 Ru 0.500 0.000 0.000
13 Ir 0.638 0.914 0.275
14 Ir 0.275 0.362 0.637
15 Ir 0.914 0.275 0.638
16 Ir 0.638 0.363 0.725
17 Ru 0.000 0.500 0.000
18 Ir 0.725 0.638 0.363
19 Ru 0.000 0.000 0.500